Run one
Computed, not measured: a relaxed structure of Pm2ThAl at the PBE level of DFT.

Cell: 3.623 3.623 10.912 Å, 80.37 80.37 59.97°
Atoms (fractional coordinates):
Pm  0.074  0.074  0.779
Pm  0.260  0.260  0.220
Th  0.500  0.500  0.500
Al  0.666  0.666  0.001

Summary:
Crystal system: monoclinic
D(E_F), states/eV/f.u.: 7.08
Total magnetic moment, μB per atom: 0.00
Calculated volume, A^3/atom: 30.425

Run two
Computed, not measured: a relaxed structure of Pm2ThAl at the PBE level of DFT.

Cell: 4.856 4.865 4.865 Å, 90.00 90.00 90.00°
Atoms (fractional coordinates):
Al  0.500  0.000  0.000
Th  0.500  0.500  0.500
Pm  0.000  0.000  0.500
Pm  0.000  0.500  0.000

Summary:
Crystal system: tetragonal
D(E_F), states/eV/f.u.: 5.13
Total magnetic moment, μB per atom: 0.00
Calculated volume, A^3/atom: 28.731

Ranked by calculated energy, most stable first: run two, run one.

Run one
Computed, not measured: a relaxed structure of PmAlTl at the PBE level of DFT.

Cell: 3.688 4.833 4.833 Å, 120.00 90.00 90.00°
Atoms (fractional coordinates):
Tl  0.164  0.333  0.667
Al  0.169  0.000  0.000
Pm  0.667  0.667  0.333

Summary:
Crystal system: trigonal
D(E_F), states/eV/f.u.: 0.54
Total magnetic moment, μB per atom: 0.00
Calculated volume, A^3/atom: 24.875

Run two
Computed, not measured: a relaxed structure of PmAlTl at the PBE level of DFT.

Cell: 4.200 4.200 5.511 Å, 112.40 112.40 90.00°
Atoms (fractional coordinates):
Tl  0.285  0.285  0.571
Al  0.611  0.611  0.221
Pm  0.954  0.954  0.908

Summary:
Crystal system: tetragonal
D(E_F), states/eV/f.u.: 3.07
Total magnetic moment, μB per atom: 0.00
Calculated volume, A^3/atom: 27.302

Ranked by calculated energy, most stable first: run one, run two.

Run one
Computed, not measured: a relaxed structure of Pm3Tm2Al3 at the PBE level of DFT.

Cell: 3.290 8.538 8.538 Å, 120.00 90.00 90.00°
Atoms (fractional coordinates):
Pm  0.000  0.756  0.756
Pm  0.000  0.244  0.000
Pm  0.000  0.000  0.244
Tm  0.000  0.333  0.667
Tm  0.000  0.667  0.333
Al  0.500  0.389  0.389
Al  0.500  0.611  0.000
Al  0.500  0.000  0.611

Summary:
Crystal system: hexagonal
D(E_F), states/eV/f.u.: 9.19
Total magnetic moment, μB per atom: 0.00
Calculated volume, A^3/atom: 25.957

Run two
Computed, not measured: a relaxed structure of Pm3Tm2Al3 at the PBE level of DFT.

Cell: 3.700 5.278 11.372 Å, 103.42 99.36 90.00°
Atoms (fractional coordinates):
Pm  0.621  0.621  0.242
Pm  0.379  0.379  0.758
Pm  0.500  0.000  0.000
Tm  0.731  0.231  0.463
Tm  0.269  0.769  0.537
Al  0.121  0.121  0.241
Al  0.000  0.500  0.000
Al  0.879  0.879  0.759

Summary:
Crystal system: orthorhombic
D(E_F), states/eV/f.u.: 6.64
Total magnetic moment, μB per atom: 0.00
Calculated volume, A^3/atom: 26.621

Ranked by calculated energy, most stable first: run two, run one.

Run one
Computed, not measured: a relaxed structure of PmTm2Al at the PBE level of DFT.

Cell: 3.544 3.544 10.646 Å, 80.42 80.42 60.00°
Atoms (fractional coordinates):
Pm  0.500  0.500  0.499
Tm  0.072  0.072  0.785
Tm  0.262  0.262  0.215
Al  0.666  0.666  0.001

Summary:
Crystal system: trigonal
D(E_F), states/eV/f.u.: 5.07
Total magnetic moment, μB per atom: 0.00
Calculated volume, A^3/atom: 28.414

Run two
Computed, not measured: a relaxed structure of PmTm2Al at the PBE level of DFT.

Cell: 5.340 5.340 5.340 Å, 60.00 60.00 60.00°
Atoms (fractional coordinates):
Tm  0.250  0.250  0.250
Tm  0.750  0.750  0.750
Al  0.000  0.000  0.000
Pm  0.500  0.500  0.500

Summary:
Crystal system: cubic
D(E_F), states/eV/f.u.: 6.11
Total magnetic moment, μB per atom: 0.29
Calculated volume, A^3/atom: 26.916

Run three
Computed, not measured: a relaxed structure of PmTm2Al at the PBE level of DFT.

Cell: 5.291 6.831 6.831 Å, 119.84 90.00 90.00°
Atoms (fractional coordinates):
Pm  0.500  0.648  0.823
Pm  0.500  0.177  0.352
Tm  0.500  0.173  0.827
Tm  0.000  0.351  0.172
Tm  0.000  0.828  0.649
Tm  0.000  0.827  0.173
Al  0.500  0.668  0.332
Al  0.000  0.328  0.672

Summary:
Crystal system: orthorhombic
D(E_F), states/eV/f.u.: 4.08
Total magnetic moment, μB per atom: 0.00
Calculated volume, A^3/atom: 26.767

Ranked by calculated energy, most stable first: run three, run one, run two.

Run one
Computed, not measured: a relaxed structure of PmTm2Al at the PBE level of DFT.

Cell: 4.754 4.760 4.760 Å, 90.00 90.00 90.00°
Atoms (fractional coordinates):
Tm  0.000  0.000  0.500
Tm  0.000  0.500  0.000
Al  0.500  0.500  0.500
Pm  0.500  0.000  0.000

Summary:
Crystal system: tetragonal
D(E_F), states/eV/f.u.: 5.01
Total magnetic moment, μB per atom: 0.00
Calculated volume, A^3/atom: 26.934

Run two
Computed, not measured: a relaxed structure of PmTm2Al at the PBE level of DFT.

Cell: 3.504 3.504 8.962 Å, 90.00 90.00 90.00°
Atoms (fractional coordinates):
Tm  0.000  0.000  0.790
Tm  0.000  0.000  0.210
Al  0.500  0.500  0.000
Pm  0.500  0.500  0.500

Summary:
Crystal system: tetragonal
D(E_F), states/eV/f.u.: 3.00
Total magnetic moment, μB per atom: 0.00
Calculated volume, A^3/atom: 27.502

Ranked by calculated energy, most stable first: run two, run one.

Run one
Computed, not measured: a relaxed structure of Pm2TmAl2 at the PBE level of DFT.

Cell: 4.888 5.805 5.805 Å, 71.01 65.10 65.10°
Atoms (fractional coordinates):
Pm  0.802  0.698  0.698
Pm  0.198  0.302  0.302
Tm  0.000  0.000  0.000
Al  0.500  0.699  0.301
Al  0.500  0.301  0.699

Summary:
Crystal system: orthorhombic
D(E_F), states/eV/f.u.: 4.43
Total magnetic moment, μB per atom: 0.00
Calculated volume, A^3/atom: 26.658

Run two
Computed, not measured: a relaxed structure of Pm2TmAl2 at the PBE level of DFT.

Cell: 3.606 6.266 12.665 Å, 83.30 90.00 90.00°
Atoms (fractional coordinates):
Pm  0.250  0.936  0.856
Pm  0.750  0.064  0.144
Pm  0.250  0.228  0.574
Pm  0.750  0.772  0.426
Tm  0.250  0.535  0.210
Tm  0.750  0.465  0.790
Al  0.250  0.715  0.628
Al  0.750  0.285  0.372
Al  0.250  0.344  0.984
Al  0.750  0.656  0.016

Summary:
Crystal system: monoclinic
D(E_F), states/eV/f.u.: 4.91
Total magnetic moment, μB per atom: 0.00
Calculated volume, A^3/atom: 28.425

Ranked by calculated energy, most stable first: run one, run two.